DFT (PBE+U) results for FeRePO2 after structural relaxation.

a = 3.750 Å, b = 3.750 Å, c = 5.272 Å
α = 90.00°, β = 90.00°, γ = 90.00°
Space group P4/mmm (No. 123)
Inequivalent atoms, fractional coordinates:
Fe 0.000 0.000 0.000 (multiplicity 1)
Re 0.500 0.500 0.500 (multiplicity 1)
P 0.500 0.500 0.000 (multiplicity 1)
O 0.000 0.500 0.500 (multiplicity 2)

Output
The calculation puts the calculated density at 6.83 Mg/m³. Its offset from the most stable computed form is 0.0000 eV/atom. For the total energy, the calculation gives -35.58 eV per cell.